Density functional theory data (PBE) for a relaxed structure of AcBiH6Ru.

Computed properties:
E_tot	-39.21	eV/cell
calculated density	7.8	g/cm³
SG	No. 1

Lattice parameters (Å, degrees): 4.689 6.561 4.947 88.95 93.46 49.69
Fractional coordinates of all 9 atoms:
Ac 0.914 0.145 0.053
Bi 0.546 0.684 0.584
H 0.995 0.494 0.234
H 0.415 0.107 0.767
H 0.785 0.127 0.545
H 0.243 0.507 0.763
H 0.312 0.529 0.281
H 0.474 0.082 0.276
Ru 0.316 0.324 0.495